[1]
Here is a relaxed Rb7I2O2 crystal from Alexandria. Energies are from PBE.

```
data_Rb7I2O2
_chemical_formula_sum 'Rb14 I4 O4'
_space_group_name_H-M_alt 'C 1 2/m 1'
_space_group_IT_number 12
_cell_length_a 9.3733
_cell_length_b 15.2190
_cell_length_c 8.7027
_cell_angle_alpha 90.00
_cell_angle_beta 101.03
_cell_angle_gamma 90.00
loop_
_space_group_symop_operation_xyz
'x,y,z'
'-x,-y,-z'
'-x,y,-z'
'x,-y,z'
'x+1/2,y+1/2,z'
'-x+1/2,-y+1/2,-z'
'-x+1/2,y+1/2,-z'
'x+1/2,-y+1/2,z'
loop_
_atom_site_label
_atom_site_fract_x
_atom_site_fract_y
_atom_site_fract_z
Rb1 0.0000 0.0000 0.0000
Rb2 0.0626 0.5000 0.8196
Rb3 0.2214 0.1491 0.7425
I1 0.0000 0.3233 0.5000
O1 0.2334 0.5000 0.1066
```

Magnetization (μB per formula unit): 0.00
Distance to the lowest polymorph of the same formula (kJ/mol of formula units): 0
Energy relative to the elements, uncorrected (eV/atom): -1.02
D(E_F) (states/eV/atom): 0.25



[2]
Here is a relaxed AlAgO2 crystal from Alexandria. Energies are from PBE.

```
data_AlAgO2
_chemical_formula_sum 'Al4 Ag4 O8'
_space_group_name_H-M_alt 'P n a 21'
_space_group_IT_number 33
_cell_length_a 5.4765
_cell_length_b 7.0326
_cell_length_c 5.4863
_cell_angle_alpha 90.00
_cell_angle_beta 90.00
_cell_angle_gamma 90.00
loop_
_space_group_symop_operation_xyz
'x,y,z'
'-x,-y,z+1/2'
'-x+1/2,y+1/2,z+1/2'
'x+1/2,-y+1/2,z'
loop_
_atom_site_label
_atom_site_fract_x
_atom_site_fract_y
_atom_site_fract_z
Al1 0.0635 0.1245 0.0000
Ag1 0.0549 0.6350 0.9985
O1 0.0308 0.0680 0.6859
O2 0.1242 0.6745 0.5637
```

Magnetization (μB per formula unit): 0.00
Energy relative to the elements, uncorrected (eV/atom): -1.89
D(E_F) (states/eV/atom): 0.00



[3]
Here is a relaxed Nd2Cu3Ge5 crystal from Alexandria. Energies are from PBE.

```
data_Nd2Cu3Ge5
_chemical_formula_sum 'Nd8 Cu12 Ge20'
_space_group_name_H-M_alt 'C 1 2/c 1'
_space_group_IT_number 15
_cell_length_a 11.6975
_cell_length_b 12.1938
_cell_length_c 6.1520
_cell_angle_alpha 90.00
_cell_angle_beta 121.57
_cell_angle_gamma 90.00
loop_
_space_group_symop_operation_xyz
'x,y,z'
'-x,-y,-z'
'-x,y,-z+1/2'
'x,-y,z+1/2'
'x+1/2,y+1/2,z'
'-x+1/2,-y+1/2,-z'
'-x+1/2,y+1/2,-z+1/2'
'x+1/2,-y+1/2,z+1/2'
loop_
_atom_site_label
_atom_site_fract_x
_atom_site_fract_y
_atom_site_fract_z
Nd1 0.2439 0.1248 0.2431
Cu1 0.0000 0.4976 0.7500
Cu2 0.1189 0.1324 0.6204
Ge1 0.0000 0.0008 0.2500
Ge2 0.0000 0.2569 0.2500
Ge3 0.0000 0.2604 0.7500
Ge4 0.1442 0.3903 0.1472
```

Magnetization (μB per formula unit): 0.00
Energy of formation from the pure elements (kJ/mol of atoms): -41
D(E_F) (states/eV/atom): 0.32



| no. | calculated density (g/cm3) |
| --- | --- |
| 1 | 2.41 |
| 2 | 5.24 |
| 3 | 7.48 |